(1)
# YTcBr3 PBE optimized geometry
data_YTcBr3
_cell_length_a 5.6069
_cell_length_b 5.6069
_cell_length_c 5.6069
_cell_angle_alpha 90.00
_cell_angle_beta 90.00
_cell_angle_gamma 90.00
_symmetry_space_group_name_H-M 'P m -3 m'
_symmetry_Int_Tables_number 221
_symmetry_space_group_name_Hall '-P 4 2 3'
loop_
_atom_site_label
_atom_site_type_symbol
_atom_site_fract_x
_atom_site_fract_y
_atom_site_fract_z
Y1 Y 0.0000 0.0000 0.0000
Tc1 Tc 0.5000 0.5000 0.5000
Br1 Br 0.0000 0.0000 0.5000
# **E_form (uncorrected)**: -0.128 eV/atom
# **DFT total energy**: -4.4972 eV/atom
# **Calculated volume**: 35.3 Å³ per atom
# **Energy relative to the lowest polymorph listed for this composition**: 0.0 kJ/mol of formula units
# **DOS(E_F)**: 11.71 states/eV/f.u.

---

(2)
# CePrIrAu PBE optimized geometry
data_CePrIrAu
_cell_length_a 4.1256
_cell_length_b 3.9655
_cell_length_c 12.2392
_cell_angle_alpha 90.00
_cell_angle_beta 90.00
_cell_angle_gamma 90.00
_symmetry_space_group_name_H-M 'A m m 2'
_symmetry_Int_Tables_number 38
loop_
_symmetry_equiv_pos_as_xyz
'x,y,z'
'-x,-y,z'
'-x,y,z'
'x,-y,z'
'x,y+1/2,z+1/2'
'-x,-y+1/2,z+1/2'
'-x,y+1/2,z+1/2'
'x,-y+1/2,z+1/2'
loop_
_atom_site_label
_atom_site_type_symbol
_atom_site_fract_x
_atom_site_fract_y
_atom_site_fract_z
Ce1 Ce 0.0000 0.0000 0.0000
Pr1 Pr 0.5000 0.0000 0.7193
Ir1 Ir 0.5000 0.0000 0.4759
Au1 Au 0.0000 0.0000 0.2999
# **Energy of formation**: -0.7369 eV per atom
# **DFT total energy**: -6.4498 eV/atom
# **Calculated volume**: 25.0 Å³ per atom
# **Energy relative to the lowest polymorph listed for this composition**: 0.0 kJ/mol of formula units
# **DOS(E_F)**: 4.12 states/eV/f.u.

---

(3)
# K3Tl PBE optimized geometry
data_K3Tl
_cell_length_a 6.4569
_cell_length_b 6.4660
_cell_length_c 10.1237
_cell_angle_alpha 90.00
_cell_angle_beta 90.00
_cell_angle_gamma 90.00
_symmetry_space_group_name_H-M 'C m m m'
_symmetry_Int_Tables_number 65
_symmetry_space_group_name_Hall '-C 2 2'
loop_
_atom_site_label
_atom_site_type_symbol
_atom_site_fract_x
_atom_site_fract_y
_atom_site_fract_z
K1 K 0.0000 0.0000 0.0000
K2 K 0.0000 0.5000 0.3076
Tl1 Tl 0.0000 0.0000 0.5000
# **Energy of formation**: -0.0060 eV per atom
# **DFT total energy**: -1.4207 eV/atom
# **Calculated volume**: 52.8 Å³ per atom
# **DOS(E_F)**: 2.68 states/eV/f.u.

---

(4)
# SmErMg3 PBE optimized geometry
data_SmErMg3
_cell_length_a 20.2807
_cell_length_b 10.5390
_cell_length_c 5.1925
_cell_angle_alpha 90.00
_cell_angle_beta 104.80
_cell_angle_gamma 90.00
_symmetry_space_group_name_H-M 'C 1 2/c 1'
_symmetry_Int_Tables_number 15
loop_
_symmetry_equiv_pos_as_xyz
'x,y,z'
'-x,-y,-z'
'-x,y,-z+1/2'
'x,-y,z+1/2'
'x+1/2,y+1/2,z'
'-x+1/2,-y+1/2,-z'
'-x+1/2,y+1/2,-z+1/2'
'x+1/2,-y+1/2,z+1/2'
loop_
_atom_site_label
_atom_site_type_symbol
_atom_site_fract_x
_atom_site_fract_y
_atom_site_fract_z
Sm1 Sm 0.1984 0.1241 0.4487
Er1 Er 0.0000 0.1274 0.2500
Er2 Er 0.0000 0.3702 0.7500
Mg1 Mg 0.0961 0.1234 0.8462
Mg2 Mg 0.1071 0.3852 0.3568
Mg3 Mg 0.1910 0.3581 0.9403
# **Energy of formation**: -0.0353 eV per atom
# **DFT total energy**: -2.8484 eV/atom
# **Calculated volume**: 26.8 Å³ per atom
# **Energy relative to the lowest polymorph listed for this composition**: 0.0 kJ/mol of formula units
# **DOS(E_F)**: 5.13 states/eV/f.u.

---

(5)
# Pm6Pr3Tl PBE optimized geometry
data_Pm6Pr3Tl
_cell_length_a 12.5163
_cell_length_b 3.6631
_cell_length_c 15.0620
_cell_angle_alpha 90.00
_cell_angle_beta 94.08
_cell_angle_gamma 90.00
_symmetry_space_group_name_H-M 'P 1 21/m 1'
_symmetry_Int_Tables_number 11
loop_
_symmetry_equiv_pos_as_xyz
'x,y,z'
'-x,-y,-z'
'-x,y+1/2,-z'
'x,-y+1/2,z'
loop_
_atom_site_label
_atom_site_type_symbol
_atom_site_fract_x
_atom_site_fract_y
_atom_site_fract_z
Pm1 Pm 0.0624 0.2500 0.3942
Pm2 Pm 0.1217 0.7500 0.9569
Pm3 Pm 0.1927 0.2500 0.7457
Pm4 Pm 0.2930 0.7500 0.3154
Pm5 Pm 0.3107 0.2500 0.1108
Pm6 Pm 0.3860 0.2500 0.4967
Pr1 Pr 0.0720 0.7500 0.1822
Pr2 Pr 0.3976 0.7500 0.9166
Pr3 Pr 0.4468 0.7500 0.6967
Tl1 Tl 0.1884 0.7500 0.5579
# **Energy of formation**: 0.0029 eV per atom
# **DFT total energy**: -4.5180 eV/atom
# **Calculated volume**: 34.4 Å³ per atom
# **DOS(E_F)**: 13.60 states/eV/f.u.

---

(6)
# BaZnAg2Hg PBE optimized geometry
data_BaZnAg2Hg
_cell_length_a 5.1353
_cell_length_b 5.1353
_cell_length_c 5.1851
_cell_angle_alpha 90.00
_cell_angle_beta 90.00
_cell_angle_gamma 90.00
_symmetry_space_group_name_H-M 'P 4/m m m'
_symmetry_Int_Tables_number 123
_symmetry_space_group_name_Hall '-P 4 2'
loop_
_atom_site_label
_atom_site_type_symbol
_atom_site_fract_x
_atom_site_fract_y
_atom_site_fract_z
Ba1 Ba 0.0000 0.0000 0.0000
Zn1 Zn 0.5000 0.5000 0.5000
Ag1 Ag 0.0000 0.5000 0.5000
Hg1 Hg 0.5000 0.5000 0.0000
# **Energy of formation**: -0.1184 eV per atom
# **DFT total energy**: -1.9586 eV/atom
# **Calculated volume**: 27.3 Å³ per atom
# **Energy relative to the lowest polymorph listed for this composition**: 0.0 kJ/mol of formula units
# **DOS(E_F)**: 2.61 states/eV/f.u.

---

(7)
# CoCu2Sb PBE optimized geometry
data_CoCu2Sb
_cell_length_a 3.3429
_cell_length_b 3.4562
_cell_length_c 5.1037
_cell_angle_alpha 90.00
_cell_angle_beta 90.00
_cell_angle_gamma 90.00
_symmetry_space_group_name_H-M 'P m m m'
_symmetry_Int_Tables_number 47
loop_
_symmetry_equiv_pos_as_xyz
'x,y,z'
'-x,-y,-z'
'-x,-y,z'
'x,y,-z'
'x,-y,-z'
'-x,y,z'
'-x,y,-z'
'x,-y,z'
loop_
_atom_site_label
_atom_site_type_symbol
_atom_site_fract_x
_atom_site_fract_y
_atom_site_fract_z
Co1 Co 0.0000 0.0000 0.0000
Cu1 Cu 0.5000 0.5000 0.2327
Sb1 Sb 0.0000 0.0000 0.5000
# **E_form (uncorrected)**: 0.262 eV/atom
# **DFT total energy**: -4.5934 eV/atom
# **Calculated volume**: 14.7 Å³ per atom
# **DOS(E_F)**: 4.03 states/eV/f.u.

---

(8)
# SmGa4Au3 PBE optimized geometry
data_SmGa4Au3
_cell_length_a 4.2604
_cell_length_b 4.2604
_cell_length_c 8.9953
_cell_angle_alpha 90.00
_cell_angle_beta 90.00
_cell_angle_gamma 90.00
_symmetry_space_group_name_H-M 'P 4/m m m'
_symmetry_Int_Tables_number 123
_symmetry_space_group_name_Hall '-P 4 2'
loop_
_atom_site_label
_atom_site_type_symbol
_atom_site_fract_x
_atom_site_fract_y
_atom_site_fract_z
Sm1 Sm 0.0000 0.0000 0.0000
Ga1 Ga 0.0000 0.5000 0.3231
Au1 Au 0.0000 0.0000 0.5000
Au2 Au 0.5000 0.5000 0.1506
# **Energy of formation**: -0.4625 eV per atom
# **DFT total energy**: -3.7948 eV/atom
# **Calculated volume**: 20.4 Å³ per atom
# **DOS(E_F)**: 1.88 states/eV/f.u.

---

(9)
# MnIrRu2 PBE optimized geometry
data_MnIrRu2
_cell_length_a 2.6827
_cell_length_b 2.6827
_cell_length_c 7.5049
_cell_angle_alpha 90.00
_cell_angle_beta 90.00
_cell_angle_gamma 90.00
_symmetry_space_group_name_H-M 'P 4 m m'
_symmetry_Int_Tables_number 99
loop_
_symmetry_equiv_pos_as_xyz
'x,y,z'
'-y,x,z'
'-x,-y,z'
'y,-x,z'
'-x,y,z'
'y,x,z'
'x,-y,z'
'-y,-x,z'
loop_
_atom_site_label
_atom_site_type_symbol
_atom_site_fract_x
_atom_site_fract_y
_atom_site_fract_z
Mn1 Mn 0.0000 0.0000 0.0000
Ir1 Ir 0.5000 0.5000 0.7589
Ru1 Ru 0.0000 0.0000 0.4967
Ru2 Ru 0.5000 0.5000 0.2421
# **Energy of formation**: 0.0217 eV per atom
# **DFT total energy**: -9.1239 eV/atom
# **Calculated volume**: 13.5 Å³ per atom
# **Energy relative to the lowest polymorph listed for this composition**: 27.2 kJ/mol of formula units
# **DOS(E_F)**: 4.83 states/eV/f.u.

---

(10)
# Zr2CuTc2 PBE optimized geometry
data_Zr2CuTc2
_cell_length_a 6.6454
_cell_length_b 6.6454
_cell_length_c 4.0954
_cell_angle_alpha 90.00
_cell_angle_beta 90.00
_cell_angle_gamma 90.00
_symmetry_space_group_name_H-M 'P 4/m b m'
_symmetry_Int_Tables_number 127
_symmetry_space_group_name_Hall '-P 4 2ab'
loop_
_atom_site_label
_atom_site_type_symbol
_atom_site_fract_x
_atom_site_fract_y
_atom_site_fract_z
Zr1 Zr 0.1786 0.3214 0.0000
Cu1 Cu 0.0000 0.0000 0.5000
Tc1 Tc 0.1291 0.6291 0.5000
# **Energy of formation**: -0.0157 eV per atom
# **DFT total energy**: -8.4006 eV/atom
# **Calculated volume**: 18.1 Å³ per atom
# **DOS(E_F)**: 3.09 states/eV/f.u.

---

(11)
# TmHF4 PBE optimized geometry
data_TmHF4
_cell_length_a 5.6406
_cell_length_b 12.4007
_cell_length_c 5.4556
_cell_angle_alpha 90.00
_cell_angle_beta 119.51
_cell_angle_gamma 90.00
_symmetry_space_group_name_H-M 'C 1 2/c 1'
_symmetry_Int_Tables_number 15
loop_
_symmetry_equiv_pos_as_xyz
'x,y,z'
'-x,-y,-z'
'-x,y,-z+1/2'
'x,-y,z+1/2'
'x+1/2,y+1/2,z'
'-x+1/2,-y+1/2,-z'
'-x+1/2,y+1/2,-z+1/2'
'x+1/2,-y+1/2,z+1/2'
loop_
_atom_site_label
_atom_site_type_symbol
_atom_site_fract_x
_atom_site_fract_y
_atom_site_fract_z
Tm1 Tm 0.0000 0.1658 0.2500
H1 H 0.0000 0.4424 0.7500
F1 F 0.2178 0.4432 0.7836
F2 F 0.2254 0.2017 0.6924
# **DFT total energy**: -5.7953 eV/atom
# **Calculated volume**: 13.8 Å³ per atom
# **Energy relative to the lowest polymorph listed for this composition**: 0.0 kJ/mol of formula units
# **DOS(E_F)**: 0.00 states/eV/f.u.

---

(12)
# AlAg2P PBE optimized geometry
data_AlAg2P
_cell_length_a 6.5300
_cell_length_b 6.5300
_cell_length_c 6.5300
_cell_angle_alpha 90.00
_cell_angle_beta 90.00
_cell_angle_gamma 90.00
_symmetry_space_group_name_H-M 'F m -3 m'
_symmetry_Int_Tables_number 225
_symmetry_space_group_name_Hall '-F 4 2 3'
loop_
_atom_site_label
_atom_site_type_symbol
_atom_site_fract_x
_atom_site_fract_y
_atom_site_fract_z
Al1 Al 0.0000 0.0000 0.0000
Ag1 Ag 0.2500 0.2500 0.2500
P1 P 0.0000 0.0000 0.5000
# **Energy of formation**: 0.2597 eV per atom
# **DFT total energy**: -3.4540 eV/atom
# **Calculated volume**: 17.4 Å³ per atom
# **Energy relative to the lowest polymorph listed for this composition**: 66.4 kJ/mol of formula units
# **DOS(E_F)**: 0.46 states/eV/f.u.